(1)
12
Lattice="4.069 0.000 0.000 0.000 4.069 0.000 0.000 0.000 12.208" Properties=species:S:1:pos:R:3 comment="ErZr2Pt9, optimized geometry, DFT PBE-GGA" total_energy_ev_per_atom=-7.404 density_kg_m3=17295 n_ef_per_ev_cell=2.4 total_magnetization_mub_per_cell=0.00 volume_a3_per_cell=202.2 pbc="T T T"
Er 0.000 0.000 0.000
Zr 0.000 0.000 4.062
Zr 0.000 0.000 8.146
Pt 0.000 2.035 2.101
Pt 0.000 2.035 6.104
Pt 0.000 2.035 10.107
Pt 2.035 0.000 2.101
Pt 2.035 0.000 6.104
Pt 2.035 0.000 10.107
Pt 2.035 2.035 0.000
Pt 2.035 2.035 4.103
Pt 2.035 2.035 8.105

(2)
28
Lattice="18.238 0.000 0.000 0.000 4.379 0.000 0.000 0.000 6.881" Properties=species:S:1:pos:R:3 comment="AcTc2Ge4, optimized geometry, DFT PBE-GGA" total_energy_ev_per_atom=-6.467 density_kg_m3=8625 n_ef_per_ev_cell=15.0 total_magnetization_mub_per_cell=0.00 volume_a3_per_cell=549.5 relative_energy_ev_per_fu=0.000 pbc="T T T"
Ac 2.106 1.095 0.040
Ac 7.013 3.284 3.480
Ac 11.226 1.095 3.401
Ac 16.132 3.284 6.841
Tc 0.552 3.284 2.539
Tc 4.190 1.095 3.823
Tc 4.929 3.284 0.383
Tc 8.567 1.095 5.979
Tc 9.671 3.284 0.901
Tc 13.309 1.095 6.498
Tc 14.048 3.284 3.057
Tc 17.686 1.095 4.342
Ge 0.624 3.284 5.117
Ge 1.755 1.095 3.405
Ge 3.180 3.284 2.271
Ge 3.692 3.284 5.060
Ge 5.427 1.095 1.619
Ge 5.939 1.095 5.712
Ge 7.364 3.284 6.845
Ge 8.495 1.095 1.677
Ge 9.743 3.284 5.204
Ge 10.874 1.095 0.035
Ge 12.299 3.284 1.169
Ge 12.811 3.284 5.261
Ge 14.546 1.095 1.821
Ge 15.058 1.095 4.609
Ge 16.483 3.284 3.476
Ge 17.614 1.095 1.764

(3)
5
Lattice="5.015 0.000 0.000 0.000 5.015 0.000 0.000 0.000 5.282" Properties=species:S:1:pos:R:3 comment="YHf2InAs, optimized geometry, DFT PBE-GGA" total_energy_ev_per_atom=-6.598 density_kg_m3=7944 n_ef_per_ev_cell=5.9 total_magnetization_mub_per_cell=0.40 volume_a3_per_cell=132.9 pbc="T T T"
Y 0.000 0.000 0.000
Hf 0.000 2.508 2.641
Hf 2.508 0.000 2.641
In 2.508 2.508 0.000
As 2.508 2.508 2.641

(4)
20
Lattice="5.288 -7.787 0.000 5.288 7.787 0.000 -5.283 0.000 7.746" Properties=species:S:1:pos:R:3 comment="Tb2Dy3Er5, optimized geometry, DFT PBE-GGA" total_energy_ev_per_atom=-4.385 density_kg_m3=8547 n_ef_per_ev_cell=37.9 total_magnetization_mub_per_cell=0.00 volume_a3_per_cell=637.9 relative_energy_ev_per_fu=1.535 pbc="T T T"
Tb 1.271 1.991 0.366
Tb -1.370 -1.991 4.239
Tb 6.662 1.991 3.507
Tb 4.021 -1.991 7.380
Dy 1.326 7.467 5.809
Dy 1.273 1.929 3.497
Dy -1.368 -1.929 7.370
Dy 6.661 1.929 0.375
Dy 4.020 -1.929 4.248
Dy 3.967 -7.467 1.936
Er -1.308 1.969 5.979
Er 1.326 4.238 5.809
Er 3.967 3.499 1.936
Er 1.333 -1.969 2.106
Er 3.967 0.384 1.936
Er 1.326 -0.384 5.809
Er 3.959 1.969 5.640
Er 1.326 -3.499 5.809
Er 3.967 -4.238 1.936
Er 6.601 -1.969 1.767

(5)
12
Lattice="2.783 -4.819 0.000 2.783 4.819 0.000 -1.853 0.000 5.425" Properties=species:S:1:pos:R:3 comment="Pu3TaTi2N6, optimized geometry, DFT PBE-GGA" total_energy_ev_per_atom=-11.423 density_kg_m3=12470 n_ef_per_ev_cell=21.8 total_magnetization_mub_per_cell=13.92 volume_a3_per_cell=145.5 formation_energy_uncorrected_ev_per_fu=-16.5 pbc="T T T"
Pu 0.000 0.000 0.000
Pu 2.783 1.618 0.000
Pu 2.783 -1.618 0.000
Ta 1.856 0.000 2.713
Ti 1.856 3.216 2.713
Ti 1.856 -3.216 2.713
N 0.927 1.609 1.544
N -0.002 0.000 3.886
N 0.927 -1.609 1.544
N 2.785 1.609 3.882
N 3.714 0.000 1.540
N 2.785 -1.609 3.882

(6)
4
Lattice="2.440 -3.090 0.000 2.440 3.090 0.000 0.000 0.000 5.309" Properties=species:S:1:pos:R:3 comment="Si2AgCl, optimized geometry, DFT PBE-GGA" total_energy_ev_per_atom=-3.635 density_kg_m3=4138 n_ef_per_ev_cell=0.9 total_magnetization_mub_per_cell=0.00 volume_a3_per_cell=80.1 relative_energy_ev_per_fu=0.909 formation_energy_uncorrected_ev_per_fu=1.0 pbc="T T T"
Si 2.440 1.943 0.000
Si 2.440 -1.943 0.000
Ag 0.000 0.000 2.654
Cl 2.440 0.000 2.654

(7)
8
Lattice="4.221 0.000 0.000 0.000 4.221 0.000 0.000 0.000 10.643" Properties=species:S:1:pos:R:3 comment="ScCdIn4Pd2, optimized geometry, DFT PBE-GGA" total_energy_ev_per_atom=-3.687 density_kg_m3=7264 n_ef_per_ev_cell=3.1 total_magnetization_mub_per_cell=0.00 volume_a3_per_cell=189.6 pbc="T T T"
Sc 0.000 0.000 0.000
Cd 0.000 0.000 5.321
In 0.000 2.110 2.234
In 0.000 2.110 8.409
In 2.110 0.000 2.234
In 2.110 0.000 8.409
Pd 2.110 2.110 4.026
Pd 2.110 2.110 6.617

(8)
4
Lattice="3.926 0.000 0.000 0.000 3.926 0.000 0.000 0.000 7.142" Properties=species:S:1:pos:R:3 comment="Gd2MgTe, optimized geometry, DFT PBE-GGA" total_energy_ev_per_atom=-8.877 density_kg_m3=7036 n_ef_per_ev_cell=5.0 total_magnetization_mub_per_cell=14.96 volume_a3_per_cell=110.1 relative_energy_ev_per_fu=0.000 formation_energy_uncorrected_ev_per_fu=-2.6 pbc="T T T"
Gd 0.000 0.000 1.751
Gd 0.000 0.000 5.391
Mg 1.963 1.963 3.571
Te 1.963 1.963 0.000

(9)
5
Lattice="5.721 0.000 0.000 0.000 5.721 0.000 0.000 0.000 5.504" Properties=species:S:1:pos:R:3 comment="SrCuS2Cl, optimized geometry, DFT PBE-GGA" total_energy_ev_per_atom=-3.036 density_kg_m3=2311 n_ef_per_ev_cell=4.4 total_magnetization_mub_per_cell=2.01 volume_a3_per_cell=180.2 relative_energy_ev_per_fu=5.211 formation_energy_uncorrected_ev_per_fu=0.7 pbc="T T T"
Sr 0.000 0.000 0.000
Cu 2.861 2.861 2.752
S 0.000 2.861 0.000
S 2.861 0.000 0.000
Cl 0.000 0.000 2.752

(10)
4
Lattice="3.088 0.000 0.000 0.000 3.088 0.000 0.000 0.000 5.791" Properties=species:S:1:pos:R:3 comment="Mn2InFe, optimized geometry, DFT PBE-GGA" total_energy_ev_per_atom=-7.144 density_kg_m3=8434 n_ef_per_ev_cell=4.4 total_magnetization_mub_per_cell=5.34 volume_a3_per_cell=55.2 pbc="T T T"
Mn 0.000 0.000 0.000
Mn 1.544 1.544 1.170
In 1.544 1.544 4.041
Fe 0.000 0.000 2.352

(11)
11
Lattice="7.471 0.000 0.000 -3.735 6.470 0.000 0.000 0.000 4.107" Properties=species:S:1:pos:R:3 comment="Pm2Ga6Ni3, optimized geometry, DFT PBE-GGA" total_energy_ev_per_atom=-4.600 density_kg_m3=7399 n_ef_per_ev_cell=5.1 total_magnetization_mub_per_cell=0.00 volume_a3_per_cell=198.5 pbc="T T T"
Pm 0.000 4.313 0.000
Pm 3.735 2.157 0.000
Ga -1.154 1.999 2.053
Ga -2.983 5.167 0.000
Ga 0.752 1.303 0.000
Ga 2.308 0.000 2.053
Ga 2.581 4.471 2.053
Ga 5.967 0.000 0.000
Ni -2.373 4.110 2.053
Ni 1.363 2.360 2.053
Ni 4.745 0.000 2.053

(12)
6
Lattice="6.077 0.000 0.000 -3.039 5.263 0.000 0.000 0.000 5.074" Properties=species:S:1:pos:R:3 comment="EuMg5, optimized geometry, DFT PBE-GGA" total_energy_ev_per_atom=-3.079 density_kg_m3=2798 n_ef_per_ev_cell=14.5 total_magnetization_mub_per_cell=7.41 volume_a3_per_cell=162.3 pbc="T T T"
Eu 0.000 0.000 0.000
Mg -1.487 2.575 2.537
Mg 0.000 3.509 0.000
Mg 2.974 0.000 2.537
Mg 1.552 2.688 2.537
Mg 3.039 1.754 0.000